Na3MoN | PBE-GGA | relaxed

Results
Symmetry ... Pm-3m
Formation energy (no corrections) ... 2090 meV/atom

Cell lengths 6.053, 6.053, 6.053 Å; angles 90.00, 90.00, 90.00 degrees
Fractional positions:
Na 0.000 0.500 0.000
Na 0.000 0.000 0.500
Na 0.500 0.000 0.000
Mo 0.000 0.000 0.000
N 0.500 0.500 0.500